Computed, not measured: crystalline KErCdTe3 at its relaxed geometry at the PBE level of DFT.

Lattice parameters (Å, degrees): 11.8664 4.5163 14.9907 90.00 90.00 90.00
Fractional positions:
Te1 0.0327 0.5000 0.8809
Te2 0.5673 0.0000 0.1098
Te3 0.9327 0.5000 0.6098
Te4 0.2669 0.5000 0.1695
Te5 0.7669 0.5000 0.3305
Te6 0.0673 0.0000 0.3902
Te7 0.7331 0.0000 0.8305
Te8 0.4673 0.0000 0.3809
Te9 0.4327 0.5000 0.8902
Te10 0.9673 0.0000 0.1191
Te11 0.2331 0.0000 0.6695
Te12 0.5327 0.5000 0.6191
K1 0.2281 0.0000 0.9921
K2 0.7719 0.5000 0.0079
K3 0.2719 0.5000 0.4921
K4 0.7281 0.0000 0.5079
Er1 0.5172 0.5000 0.2452
Er2 0.0172 0.5000 0.2548
Er3 0.9828 0.0000 0.7452
Er4 0.4828 0.0000 0.7548
Cd1 0.7634 0.0000 0.2143
Cd2 0.2634 0.0000 0.2857
Cd3 0.7366 0.5000 0.7143
Cd4 0.2366 0.5000 0.7857

Output
- V (Å³/cell) = 803
- electronic total energy (eV for the cell shown) = -88.75
- relative energy among the computed polymorphs (meV per atom) = 12.5
- magnetization (μB per formula unit) = 0.00



Computed, not measured: crystalline ErHfCu2Sn2 at its relaxed geometry at the PBE level of DFT.

Lattice parameters (Å, degrees): 4.4822 4.4822 6.8090 90.00 90.00 120.00
Fractional positions:
Cu1 0.3333 0.6667 0.0621
Cu2 0.6667 0.3333 0.5342
Sn1 0.3333 0.6667 0.4633
Sn2 0.6667 0.3333 0.9780
Hf1 0.0000 0.0000 0.2306
Er1 0.0000 0.0000 0.7318

Output
- V (Å³/cell) = 118
- electronic total energy (eV for the cell shown) = -32.47
- magnetization (μB per formula unit) = 0.00



Computed, not measured: crystalline YCoGeW at its relaxed geometry at the PBE level of DFT.

Lattice parameters (Å, degrees): 4.5416 4.5416 4.5416 60.00 60.00 60.00
Fractional positions:
W1 0.2500 0.2500 0.2500
Ge1 0.0000 0.0000 0.0000
Co1 0.7500 0.7500 0.7500
Y1 0.5000 0.5000 0.5000

Output
- V (Å³/cell) = 66
- electronic total energy (eV for the cell shown) = -29.26
- relative energy among the computed polymorphs (meV per atom) = 0.0
- magnetization (μB per formula unit) = 1.38



Computed, not measured: crystalline Gd4AsI5 at its relaxed geometry at the PBE level of DFT.

Lattice parameters (Å, degrees): 9.7751 9.7751 8.8475 102.51 102.51 24.80
Fractional positions:
Gd1 0.6473 0.6473 0.0739
Gd2 0.0002 0.0002 0.7892
Gd3 0.9998 0.9998 0.2108
Gd4 0.3527 0.3527 0.9261
I1 0.1665 0.1665 0.3391
I2 0.8335 0.8335 0.6609
I3 0.8289 0.8289 0.1745
I4 0.5000 0.5000 0.5000
I5 0.1711 0.1711 0.8255
As1 0.5000 0.5000 0.0000

Output
- V (Å³/cell) = 346
- electronic total energy (eV for the cell shown) = -44.05
- magnetization (μB per formula unit) = 0.00